(1)
# NiIr2Au (PBE-GGA, optimized geometry)
data_NiIr2Au
_chemical_formula_sum 'Ni4 Ir8 Au4'
_cell_length_a 6.1878
_cell_length_b 6.1878
_cell_length_c 6.1878
_cell_angle_alpha 90.00
_cell_angle_beta 90.00
_cell_angle_gamma 90.00
_symmetry_space_group_name_H-M 'F -4 3 m'
_symmetry_Int_Tables_number 216
_symmetry_space_group_name_Hall 'F -4 2 3'
loop_
_atom_site_label
_atom_site_type_symbol
_atom_site_fract_x
_atom_site_fract_y
_atom_site_fract_z
Ni1 Ni 0.0000 0.0000 0.0000
Ir1 Ir 0.0000 0.0000 0.5000
Ir2 Ir 0.2500 0.2500 0.7500
Au1 Au 0.2500 0.2500 0.2500
# Energy of formation, eV per atom: 0.46
# Energy above the most stable polymorph in this dataset, meV/atom: 330
# Density of states at the Fermi level, states/eV/f.u.: 5.46
# Total energy, eV/atom: -6.239

=====

(2)
# NiIrAu2 (PBE-GGA, optimized geometry)
data_NiIrAu2
_chemical_formula_sum 'Ni1 Ir1 Au2'
_cell_length_a 4.7294
_cell_length_b 4.7294
_cell_length_c 2.8002
_cell_angle_alpha 90.00
_cell_angle_beta 90.00
_cell_angle_gamma 90.00
_symmetry_space_group_name_H-M 'P 4/m m m'
_symmetry_Int_Tables_number 123
_symmetry_space_group_name_Hall '-P 4 2'
loop_
_atom_site_label
_atom_site_type_symbol
_atom_site_fract_x
_atom_site_fract_y
_atom_site_fract_z
Ni1 Ni 0.0000 0.0000 0.0000
Ir1 Ir 0.5000 0.5000 0.0000
Au1 Au 0.0000 0.5000 0.5000
# Energy of formation, eV per atom: 0.34
# Energy above the most stable polymorph in this dataset, meV/atom: 186
# Density of states at the Fermi level, states/eV/f.u.: 4.90
# Total energy, eV/atom: -4.956

=====

(3)
# NiIrAu (PBE-GGA, optimized geometry)
data_NiIrAu
_chemical_formula_sum 'Ni2 Ir2 Au2'
_cell_length_a 2.7610
_cell_length_b 2.7610
_cell_length_c 11.4985
_cell_angle_alpha 90.00
_cell_angle_beta 90.00
_cell_angle_gamma 90.00
_symmetry_space_group_name_H-M 'I 4 m m'
_symmetry_Int_Tables_number 107
_symmetry_space_group_name_Hall 'I 4 -2'
loop_
_atom_site_label
_atom_site_type_symbol
_atom_site_fract_x
_atom_site_fract_y
_atom_site_fract_z
Ni1 Ni 0.0000 0.0000 0.0000
Ir1 Ir 0.0000 0.0000 0.3577
Au1 Au 0.0000 0.0000 0.6689
# Energy of formation, eV per atom: 0.21
# Energy above the most stable polymorph in this dataset, meV/atom: 159
# Density of states at the Fermi level, states/eV/f.u.: 3.91
# Total energy, eV/atom: -5.768

=====

(4)
# NiIrAu (PBE-GGA, optimized geometry)
data_NiIrAu
_chemical_formula_sum 'Ni2 Ir2 Au2'
_cell_length_a 2.7581
_cell_length_b 2.7581
_cell_length_c 11.4648
_cell_angle_alpha 90.00
_cell_angle_beta 90.00
_cell_angle_gamma 90.00
_symmetry_space_group_name_H-M 'P 4/n m m'
_symmetry_Int_Tables_number 129
loop_
_symmetry_equiv_pos_as_xyz
'x,y,z'
'-x,-y,-z'
'-y+1/2,x,z'
'y+1/2,-x,-z'
'-x+1/2,-y+1/2,z'
'x+1/2,y+1/2,-z'
'y,-x+1/2,z'
'-y,x+1/2,-z'
'x+1/2,-y,-z'
'-x+1/2,y,z'
'-y,-x,-z'
'y,x,z'
'-x,y+1/2,-z'
'x,-y+1/2,z'
'y+1/2,x+1/2,-z'
'-y+1/2,-x+1/2,z'
loop_
_atom_site_label
_atom_site_type_symbol
_atom_site_fract_x
_atom_site_fract_y
_atom_site_fract_z
Ni1 Ni 0.2500 0.2500 0.2314
Ir1 Ir 0.2500 0.2500 0.9184
Au1 Au 0.2500 0.2500 0.6011
# Energy of formation, eV per atom: 0.05
# Energy above the most stable polymorph in this dataset, meV/atom: 0
# Density of states at the Fermi level, states/eV/f.u.: 2.94
# Total energy, eV/atom: -5.926

=====

(5)
# NiIrAu2 (PBE-GGA, optimized geometry)
data_NiIrAu2
_chemical_formula_sum 'Ni4 Ir4 Au8'
_cell_length_a 3.7848
_cell_length_b 3.7848
_cell_length_c 18.8927
_cell_angle_alpha 90.00
_cell_angle_beta 90.00
_cell_angle_gamma 90.00
_symmetry_space_group_name_H-M 'I -4 2 d'
_symmetry_Int_Tables_number 122
_symmetry_space_group_name_Hall 'I -4 2bw'
loop_
_atom_site_label
_atom_site_type_symbol
_atom_site_fract_x
_atom_site_fract_y
_atom_site_fract_z
Ni1 Ni 0.0000 0.0000 0.0000
Ir1 Ir 0.0000 0.0000 0.5000
Au1 Au 0.2488 0.2500 0.1250
# Energy of formation, eV per atom: 0.63
# Energy above the most stable polymorph in this dataset, meV/atom: 476
# Density of states at the Fermi level, states/eV/f.u.: 5.91
# Total energy, eV/atom: -4.665

=====

(6)
# NiIrAu2 (PBE-GGA, optimized geometry)
data_NiIrAu2
_chemical_formula_sum 'Ni2 Ir2 Au4'
_cell_length_a 3.9745
_cell_length_b 3.9745
_cell_length_c 7.8673
_cell_angle_alpha 90.00
_cell_angle_beta 90.00
_cell_angle_gamma 90.00
_symmetry_space_group_name_H-M 'I -4 m 2'
_symmetry_Int_Tables_number 119
_symmetry_space_group_name_Hall 'I -4 -2'
loop_
_atom_site_label
_atom_site_type_symbol
_atom_site_fract_x
_atom_site_fract_y
_atom_site_fract_z
Ni1 Ni 0.0000 0.0000 0.0000
Ir1 Ir 0.0000 0.5000 0.2500
Au1 Au 0.0000 0.0000 0.5000
Au2 Au 0.0000 0.5000 0.7500
# Energy of formation, eV per atom: 0.34
# Energy above the most stable polymorph in this dataset, meV/atom: 178
# Density of states at the Fermi level, states/eV/f.u.: 5.16
# Total energy, eV/atom: -4.963

=====

(7)
# NiIr2Au (PBE-GGA, optimized geometry)
data_NiIr2Au
_chemical_formula_sum 'Ni1 Ir2 Au1'
_cell_length_a 2.7679
_cell_length_b 2.7679
_cell_length_c 7.5918
_cell_angle_alpha 90.00
_cell_angle_beta 90.00
_cell_angle_gamma 90.00
_symmetry_space_group_name_H-M 'P 4 m m'
_symmetry_Int_Tables_number 99
_symmetry_space_group_name_Hall 'P 4 -2'
loop_
_atom_site_label
_atom_site_type_symbol
_atom_site_fract_x
_atom_site_fract_y
_atom_site_fract_z
Ni1 Ni 0.0000 0.0000 0.0000
Ir1 Ir 0.0000 0.0000 0.5356
Ir2 Ir 0.5000 0.5000 0.7756
Au1 Au 0.5000 0.5000 0.2506
# Energy of formation, eV per atom: 0.13
# Energy above the most stable polymorph in this dataset, meV/atom: 0
# Density of states at the Fermi level, states/eV/f.u.: 4.45
# Total energy, eV/atom: -6.570

=====

(8)
# NiIr2Au (PBE-GGA, optimized geometry)
data_NiIr2Au
_chemical_formula_sum 'Ni2 Ir4 Au2'
_cell_length_a 2.7486
_cell_length_b 4.6945
_cell_length_c 9.2766
_cell_angle_alpha 90.00
_cell_angle_beta 90.00
_cell_angle_gamma 90.00
_symmetry_space_group_name_H-M 'C m m m'
_symmetry_Int_Tables_number 65
_symmetry_space_group_name_Hall '-C 2 2'
loop_
_atom_site_label
_atom_site_type_symbol
_atom_site_fract_x
_atom_site_fract_y
_atom_site_fract_z
Ni1 Ni 0.0000 0.0000 0.0000
Ir1 Ir 0.0000 0.5000 0.2266
Au1 Au 0.0000 0.0000 0.5000
# Energy of formation, eV per atom: 0.34
# Energy above the most stable polymorph in this dataset, meV/atom: 216
# Density of states at the Fermi level, states/eV/f.u.: 6.95
# Total energy, eV/atom: -6.354